Record 1
Computed, not measured: an optimized crystal structure of Cd2In2Ge3 at the PBE-GGA level of DFT.

Cell and atoms, written as CIF:
```
data_Cd2In2Ge3
_symmetry_space_group_name_H-M 'R 3 m'
_symmetry_Int_Tables_number 160
_symmetry_space_group_name_Hall 'R 3 -2"'
_cell_length_a 4.9438
_cell_length_b 4.9438
_cell_length_c 23.7319
_cell_angle_alpha 90.00
_cell_angle_beta 90.00
_cell_angle_gamma 120.00
loop_
_atom_site_label
_atom_site_fract_x
_atom_site_fract_y
_atom_site_fract_z
Cd1 0.0000 0.0000 0.0000
Cd2 0.0000 0.0000 0.4875
In1 0.0000 0.0000 0.2353
In2 0.0000 0.0000 0.7475
Ge1 0.0000 0.0000 0.3662
Ge2 0.0000 0.0000 0.6179
Ge3 0.0000 0.0000 0.8698
```

Crystal system: trigonal

Record 2
Computed, not measured: an optimized crystal structure of AgPd2Pt at the PBE-GGA level of DFT.

Cell and atoms, written as CIF:
```
data_AgPd2Pt
_symmetry_space_group_name_H-M 'F -4 3 m'
_symmetry_Int_Tables_number 216
_symmetry_space_group_name_Hall 'F -4 2 3'
_cell_length_a 6.330
_cell_length_b 6.330
_cell_length_c 6.330
_cell_angle_alpha 90.00
_cell_angle_beta 90.00
_cell_angle_gamma 90.00
loop_
_atom_site_label
_atom_site_fract_x
_atom_site_fract_y
_atom_site_fract_z
Ag1 0.000 0.000 0.000
Pd1 0.000 0.000 0.500
Pd2 0.250 0.250 0.250
Pt1 0.250 0.250 0.750
```

Crystal system: cubic
Energy of formation from the pure elements (eV per atom): 0.0912

Record 3
Computed, not measured: an optimized crystal structure of TlTcAgSe3 at the PBE-GGA level of DFT.

Cell and atoms, written as CIF:
```
data_TlTcAgSe3
_symmetry_space_group_name_H-M 'P n m a'
_symmetry_Int_Tables_number 62
_cell_length_a 11.215
_cell_length_b 3.630
_cell_length_c 14.195
_cell_angle_alpha 90.00
_cell_angle_beta 90.00
_cell_angle_gamma 90.00
loop_
_symmetry_equiv_pos_as_xyz
'x,y,z'
'-x,-y,-z'
'-x+1/2,-y,z+1/2'
'x+1/2,y,-z+1/2'
'x+1/2,-y+1/2,-z+1/2'
'-x+1/2,y+1/2,z+1/2'
'-x,y+1/2,-z'
'x,-y+1/2,z'
loop_
_atom_site_label
_atom_site_fract_x
_atom_site_fract_y
_atom_site_fract_z
Tl1 0.229 0.250 0.016
Tc1 0.065 0.750 0.248
Ag1 0.244 0.750 0.838
Se1 0.009 0.750 0.859
Se2 0.029 0.250 0.370
Se3 0.237 0.250 0.687
```

Crystal system: orthorhombic

Record 4
Computed, not measured: an optimized crystal structure of DySnTeAuS2 at the PBE-GGA level of DFT.

Cell and atoms, written as CIF:
```
data_DySnTeAuS2
_symmetry_space_group_name_H-M 'C m c m'
_symmetry_Int_Tables_number 63
_symmetry_space_group_name_Hall '-C 2c 2'
_cell_length_a 4.036
_cell_length_b 13.768
_cell_length_c 11.129
_cell_angle_alpha 90.00
_cell_angle_beta 90.00
_cell_angle_gamma 90.00
loop_
_atom_site_label
_atom_site_fract_x
_atom_site_fract_y
_atom_site_fract_z
Dy1 0.000 0.000 0.000
Sn1 0.000 0.203 0.250
Te1 0.000 0.111 0.750
Au1 0.000 0.468 0.750
S1 0.000 0.370 0.560
```

Crystal system: orthorhombic

Record 5
Computed, not measured: an optimized crystal structure of SmHgSb at the PBE-GGA level of DFT.

Cell and atoms, written as CIF:
```
data_SmHgSb
_symmetry_space_group_name_H-M 'F -4 3 m'
_symmetry_Int_Tables_number 216
_symmetry_space_group_name_Hall 'F -4 2 3'
_cell_length_a 7.277
_cell_length_b 7.277
_cell_length_c 7.277
_cell_angle_alpha 90.00
_cell_angle_beta 90.00
_cell_angle_gamma 90.00
loop_
_atom_site_label
_atom_site_fract_x
_atom_site_fract_y
_atom_site_fract_z
Sm1 0.000 0.000 0.000
Hg1 0.000 0.000 0.500
Sb1 0.250 0.250 0.750
```

Crystal system: cubic

Record 6
Computed, not measured: an optimized crystal structure of DyAl2Pd3 at the PBE-GGA level of DFT.

Cell and atoms, written as CIF:
```
data_DyAl2Pd3
_symmetry_space_group_name_H-M 'P 63/m m c'
_symmetry_Int_Tables_number 194
_symmetry_space_group_name_Hall '-P 6c 2c'
_cell_length_a 4.3524
_cell_length_b 4.3524
_cell_length_c 12.6810
_cell_angle_alpha 90.00
_cell_angle_beta 90.00
_cell_angle_gamma 120.00
loop_
_atom_site_label
_atom_site_fract_x
_atom_site_fract_y
_atom_site_fract_z
Dy1 0.0000 0.0000 0.2500
Al1 0.3333 0.6667 0.0748
Pd1 0.0000 0.0000 0.0000
Pd2 0.3333 0.6667 0.6276
```

Crystal system: hexagonal

| no. | final energy (eV/atom) |
| --- | --- |
| 1 | -2.814 |
| 2 | -4.716 |
| 3 | -4.465 |
| 4 | -4.694 |
| 5 | -3.336 |
| 6 | -5.544 |